Compound: Na3Th3CoSe8
Source: Alexandria via LeMat-Bulk
Functional: PBE
Structure: relaxed

The structure belongs to space group R-3m (No. 166, hexagonal axes); the cell edges are 8.3135, 8.3135 and 21.3246 Å and the angles 90.00°, 90.00° and 120.00°. The inequivalent atoms are Na at (0.0000, 0.5000, 0.0000), Th at (0.0000, 0.5000, 0.5000), Co at (0.0000, 0.0000, 0.5000), Se at (0.0000, 0.0000, 0.2484) and Se at (0.0159, 0.5080, 0.2392).

The value obtained for the volume is 28.36 A^3/atom. The formation energy without anion corrections is -1.291 eV per atom.